# 1
{
  "formula": "BaCaCrGa2",
  "functional": "PBE-GGA",
  "state": "relaxed",
  "ef_ev_per_atom": 0.998,
  "crystal_system": "tetragonal",
  "spacegroup": "P4/mmm (123)",
  "lattice": [[5.801, 0.000, 0.000], [0.000, 5.801, 0.000], [0.000, 0.000, 5.661]],
  "species": ["Ba", "Ca", "Cr", "Ga", "Ga"],
  "frac_coords": [[0.000, 0.000, 0.000], [0.500, 0.500, 0.500], [0.000, 0.000, 0.500], [0.000, 0.500, 0.000], [0.500, 0.000, 0.000]]
}



# 2
{
  "formula": "Ba2CaCrHg",
  "functional": "PBE-GGA",
  "state": "relaxed",
  "ef_ev_per_atom": 0.812,
  "crystal_system": "tetragonal",
  "spacegroup": "P4/mmm (123)",
  "lattice": [[6.869, 0.000, 0.000], [0.000, 6.869, 0.000], [0.000, 0.000, 5.358]],
  "species": ["Ba", "Ba", "Ca", "Cr", "Hg"],
  "frac_coords": [[0.000, 0.500, 0.000], [0.500, 0.000, 0.000], [0.000, 0.000, 0.000], [0.000, 0.000, 0.500], [0.500, 0.500, 0.500]]
}



# 3
{
  "formula": "BaCaCr2Hg",
  "functional": "PBE-GGA",
  "state": "relaxed",
  "ef_ev_per_atom": 0.644,
  "crystal_system": "tetragonal",
  "spacegroup": "P4/mmm (123)",
  "lattice": [[5.451, 0.000, 0.000], [0.000, 5.451, 0.000], [0.000, 0.000, 5.632]],
  "species": ["Ba", "Ca", "Cr", "Cr", "Hg"],
  "frac_coords": [[0.000, 0.000, 0.000], [0.500, 0.500, 0.000], [0.000, 0.500, 0.500], [0.500, 0.000, 0.500], [0.500, 0.500, 0.500]]
}



# 4
{
  "formula": "Ba2CaCrHg",
  "functional": "PBE-GGA",
  "state": "relaxed",
  "ef_ev_per_atom": 0.479,
  "crystal_system": "tetragonal",
  "spacegroup": "P4/mmm (123)",
  "lattice": [[5.833, 0.000, 0.000], [0.000, 5.833, 0.000], [0.000, 0.000, 5.551]],
  "species": ["Ba", "Ba", "Ca", "Cr", "Hg"],
  "frac_coords": [[0.000, 0.500, 0.000], [0.500, 0.000, 0.000], [0.000, 0.000, 0.500], [0.000, 0.000, 0.000], [0.500, 0.500, 0.500]]
}



# 5
{
  "formula": "BaCaCr2I",
  "functional": "PBE-GGA",
  "state": "relaxed",
  "raw_formation_energy_mev_per_atom": 648,
  "crystal_system": "tetragonal",
  "spacegroup": "P4/mmm (123)",
  "lattice": [[5.808, 0.000, 0.000], [0.000, 5.808, 0.000], [0.000, 0.000, 5.918]],
  "species": ["Ba", "Ca", "Cr", "Cr", "I"],
  "frac_coords": [[0.000, 0.000, 0.000], [0.500, 0.500, 0.500], [0.000, 0.500, 0.500], [0.500, 0.000, 0.500], [0.500, 0.500, 0.000]]
}



# 6
{
  "formula": "BaCaCrIr2",
  "functional": "PBE-GGA",
  "state": "relaxed",
  "ef_ev_per_atom": 2.094,
  "crystal_system": "tetragonal",
  "spacegroup": "P4/mmm (123)",
  "lattice": [[4.962, 0.000, 0.000], [0.000, 4.962, 0.000], [0.000, 0.000, 5.385]],
  "species": ["Ba", "Ca", "Cr", "Ir", "Ir"],
  "frac_coords": [[0.000, 0.000, 0.000], [0.000, 0.000, 0.500], [0.500, 0.500, 0.000], [0.000, 0.500, 0.500], [0.500, 0.000, 0.500]]
}



# 7
{
  "formula": "BaLiCaCr2",
  "functional": "PBE-GGA",
  "state": "relaxed",
  "ef_ev_per_atom": 0.943,
  "crystal_system": "tetragonal",
  "spacegroup": "P4/mmm (123)",
  "lattice": [[5.306, 0.000, 0.000], [0.000, 5.306, 0.000], [0.000, 0.000, 5.482]],
  "species": ["Ba", "Li", "Ca", "Cr", "Cr"],
  "frac_coords": [[0.000, 0.000, 0.000], [0.000, 0.000, 0.500], [0.500, 0.500, 0.000], [0.000, 0.500, 0.500], [0.500, 0.000, 0.500]]
}



# 8
{
  "formula": "BaCaCrN2",
  "functional": "PBE-GGA",
  "state": "relaxed",
  "raw_formation_energy_mev_per_atom": 2468,
  "crystal_system": "tetragonal",
  "spacegroup": "P4/mmm (123)",
  "lattice": [[4.688, 0.000, 0.000], [0.000, 4.688, 0.000], [0.000, 0.000, 6.066]],
  "species": ["Ba", "Ca", "Cr", "N", "N"],
  "frac_coords": [[0.000, 0.000, 0.000], [0.000, 0.000, 0.500], [0.500, 0.500, 0.500], [0.000, 0.500, 0.000], [0.500, 0.000, 0.000]]
}



# 9
{
  "formula": "BaCaCrN2",
  "functional": "PBE-GGA",
  "state": "relaxed",
  "raw_formation_energy_mev_per_atom": 1171,
  "crystal_system": "tetragonal",
  "spacegroup": "P4/mmm (123)",
  "lattice": [[4.737, 0.000, 0.000], [0.000, 4.737, 0.000], [0.000, 0.000, 5.117]],
  "species": ["Ba", "Ca", "Cr", "N", "N"],
  "frac_coords": [[0.000, 0.000, 0.000], [0.500, 0.500, 0.500], [0.500, 0.500, 0.000], [0.000, 0.500, 0.500], [0.500, 0.000, 0.500]]
}



# 10
{
  "formula": "BaCaCrN2",
  "functional": "PBE-GGA",
  "state": "relaxed",
  "raw_formation_energy_mev_per_atom": 725,
  "crystal_system": "tetragonal",
  "spacegroup": "P4/mmm (123)",
  "lattice": [[4.151, 0.000, 0.000], [0.000, 4.151, 0.000], [0.000, 0.000, 4.591]],
  "species": ["Ba", "Ca", "Cr", "N", "N"],
  "frac_coords": [[0.000, 0.000, 0.000], [0.500, 0.500, 0.000], [0.500, 0.500, 0.500], [0.000, 0.500, 0.500], [0.500, 0.000, 0.500]]
}



# 11
{
  "formula": "Ba2NaCaCr",
  "functional": "PBE-GGA",
  "state": "relaxed",
  "ef_ev_per_atom": 0.547,
  "crystal_system": "tetragonal",
  "spacegroup": "P4/mmm (123)",
  "lattice": [[6.528, 0.000, 0.000], [0.000, 6.528, 0.000], [0.000, 0.000, 5.905]],
  "species": ["Ba", "Ba", "Na", "Ca", "Cr"],
  "frac_coords": [[0.000, 0.500, 0.000], [0.500, 0.000, 0.000], [0.000, 0.000, 0.500], [0.500, 0.500, 0.500], [0.000, 0.000, 0.000]]
}



# 12
{
  "formula": "BaCaNbCr2",
  "functional": "PBE-GGA",
  "state": "relaxed",
  "ef_ev_per_atom": 2.563,
  "crystal_system": "tetragonal",
  "spacegroup": "P4/mmm (123)",
  "lattice": [[4.703, 0.000, 0.000], [0.000, 4.703, 0.000], [0.000, 0.000, 5.471]],
  "species": ["Ba", "Ca", "Nb", "Cr", "Cr"],
  "frac_coords": [[0.000, 0.000, 0.000], [0.000, 0.000, 0.500], [0.500, 0.500, 0.000], [0.000, 0.500, 0.500], [0.500, 0.000, 0.500]]
}